DFT (PBE) results for crystalline GaHgPd at its relaxed geometry.

abc: 4.450 4.450 4.450
angles: 60.00 60.00 60.00
Element x y z (fractional)
Ga (0.250, 0.250, 0.250)
Hg (0.750, 0.750, 0.750)
Pd (0.000, 0.000, 0.000)

Values from the calculation:
total energy	-2.9902	eV per atom



DFT (PBE) results for crystalline GaHgPd2 at its relaxed geometry.

abc: 4.566 4.566 4.566
angles: 60.00 60.00 60.00
Element x y z (fractional)
Ga (0.500, 0.500, 0.500)
Hg (0.250, 0.250, 0.250)
Pd (0.000, 0.000, 0.000)
Pd (0.750, 0.750, 0.750)

Values from the calculation:
total energy	-3.5865	eV per atom



DFT (PBE) results for crystalline Pm5Ga2Hg at its relaxed geometry.

abc: 9.379 9.379 9.379
angles: 131.20 131.20 71.49
Element x y z (fractional)
Ga (0.881, 0.381, 0.262)
Ga (0.381, 0.119, 0.500)
Ga (0.619, 0.881, 0.500)
Ga (0.119, 0.619, 0.738)
Hg (0.250, 0.250, 0.000)
Hg (0.750, 0.750, 0.000)
Pm (0.000, 0.000, 0.000)
Pm (0.500, 0.500, 0.000)
Pm (0.183, 0.683, 0.157)
Pm (0.474, 0.974, 0.157)
Pm (0.026, 0.183, 0.500)
Pm (0.317, 0.474, 0.500)
Pm (0.683, 0.526, 0.500)
Pm (0.974, 0.817, 0.500)
Pm (0.526, 0.026, 0.843)
Pm (0.817, 0.317, 0.843)

Values from the calculation:
total energy	-4.1911	eV per atom



DFT (PBE) results for crystalline Pr2Ga3Hg3 at its relaxed geometry.

abc: 6.739 6.739 4.815
angles: 90.00 90.00 120.00
Element x y z (fractional)
Ga (0.191, 0.381, 0.500)
Ga (0.191, 0.809, 0.500)
Ga (0.619, 0.809, 0.500)
Hg (0.017, 0.508, 0.000)
Hg (0.492, 0.508, 0.000)
Hg (0.492, 0.983, 0.000)
Pr (0.000, 0.000, 0.000)
Pr (0.667, 0.333, 0.500)

Values from the calculation:
total energy	-2.8714	eV per atom



DFT (PBE) results for crystalline Pr2Ga3Hg3 at its relaxed geometry.

abc: 4.828 6.747 6.747
angles: 59.49 90.00 90.00
Element x y z (fractional)
Ga (0.500, 0.153, 0.153)
Ga (0.000, 0.858, 0.303)
Ga (0.000, 0.303, 0.858)
Hg (0.500, 0.686, 0.167)
Hg (0.500, 0.167, 0.686)
Hg (0.000, 0.842, 0.842)
Pr (0.000, 0.328, 0.328)
Pr (0.500, 0.663, 0.663)

Values from the calculation:
total energy	-2.8686	eV per atom



DFT (PBE) results for crystalline PrGaHg2 at its relaxed geometry.

abc: 6.808 6.808 4.956
angles: 90.00 90.00 122.13
Element x y z (fractional)
Ga (0.158, 0.842, 0.250)
Ga (0.842, 0.158, 0.750)
Hg (0.157, 0.318, 0.250)
Hg (0.682, 0.843, 0.250)
Hg (0.318, 0.157, 0.750)
Hg (0.843, 0.682, 0.750)
Pr (0.671, 0.329, 0.250)
Pr (0.329, 0.671, 0.750)

Values from the calculation:
total energy	-2.5093	eV per atom